(1)
Computed, not measured: Al2ZnCu after structural relaxation at the GGA-PBE level of DFT.

Calculated values
**Fermi-level density of states**: 1.6 states/eV/cell
**Total moment**: 0.00 μB per formula unit
**Calculated formation energy**: -51 meV/atom

a b c (Å): 8.503 2.769 5.237
angles (deg): 90.00 103.19 90.00
Space group C2/m (No. 12)
One atom of each set of equivalent atoms:
Al1 0.245 0.000 0.237 [4 per cell]
Zn1 0.000 0.000 0.500 [2 per cell]
Cu1 0.000 0.500 0.000 [2 per cell]

=====

(2)
Computed, not measured: AlZn4Cu after structural relaxation at the GGA-PBE level of DFT.

Calculated values
**Fermi-level density of states**: 10.1 states/eV/cell
**E above lowest polymorph**: 2.53 kcal/mol of atoms
**Total moment**: 0.00 μB per formula unit
**Calculated formation energy**: 107 meV/atom

a b c (Å): 7.126 7.126 7.126
angles (deg): 90.00 90.00 90.00
Space group F-43m (No. 216)
One atom of each set of equivalent atoms:
Al1 0.000 0.000 0.000 [4 per cell]
Zn1 0.125 0.125 0.375 [16 per cell]
Cu1 0.250 0.250 0.750 [4 per cell]

=====

(3)
Computed, not measured: ZrAlZn2Cu4 after structural relaxation at the GGA-PBE level of DFT.

Calculated values
**Fermi-level density of states**: 15.9 states/eV/cell
**Total moment**: 0.00 μB per formula unit
**Calculated formation energy**: -136 meV/atom

a b c (Å): 4.1714 4.1714 23.0444
angles (deg): 90.00 90.00 120.00
Space group R-3m (No. 166, hexagonal axes)
One atom of each set of equivalent atoms:
Zr1 0.0000 0.0000 0.0000 [3 per cell]
Al1 0.0000 0.0000 0.5000 [3 per cell]
Zn1 0.0000 0.0000 0.2488 [6 per cell]
Cu1 0.0000 0.0000 0.1278 [6 per cell]
Cu2 0.0000 0.0000 0.3929 [6 per cell]

=====

(4)
Computed, not measured: ZrAl2ZnCu4 after structural relaxation at the GGA-PBE level of DFT.

Calculated values
**Fermi-level density of states**: 10.0 states/eV/cell
**Total moment**: 0.00 μB per formula unit
**Calculated formation energy**: -233 meV/atom

a b c (Å): 4.1749 4.1749 23.0374
angles (deg): 90.00 90.00 120.00
Space group R-3m (No. 166, hexagonal axes)
One atom of each set of equivalent atoms:
Zr1 0.0000 0.0000 0.0000 [3 per cell]
Al1 0.0000 0.0000 0.2492 [6 per cell]
Zn1 0.0000 0.0000 0.5000 [3 per cell]
Cu1 0.0000 0.0000 0.1284 [6 per cell]
Cu2 0.0000 0.0000 0.3923 [6 per cell]

=====

(5)
Computed, not measured: ZrAl3Cu3 after structural relaxation at the GGA-PBE level of DFT.

Calculated values
**Fermi-level density of states**: 6.0 states/eV/cell
**E above lowest polymorph**: 0.62 kcal/mol of atoms
**Total moment**: 0.00 μB per formula unit
**Calculated formation energy**: -255 meV/atom

a b c (Å): 7.093 4.122 7.906
angles (deg): 90.00 113.65 90.00
Space group P2_1/m (No. 11)
One atom of each set of equivalent atoms:
Zr1 0.099 0.250 0.370 [2 per cell]
Al1 0.079 0.750 0.097 [2 per cell]
Al2 0.312 0.750 0.646 [2 per cell]
Al3 0.445 0.750 0.365 [2 per cell]
Cu1 0.210 0.250 0.775 [2 per cell]
Cu2 0.305 0.250 0.127 [2 per cell]
Cu3 0.389 0.750 0.986 [2 per cell]

=====

(6)
Computed, not measured: ZrAl3Cu after structural relaxation at the GGA-PBE level of DFT.

Calculated values
**Fermi-level density of states**: 3.1 states/eV/cell
**E above lowest polymorph**: 10.91 kcal/mol of atoms
**Total moment**: 0.00 μB per formula unit
**Calculated formation energy**: 193 meV/atom

a b c (Å): 4.525 4.525 4.525
angles (deg): 90.00 90.00 90.00
Space group Pm-3m (No. 221)
One atom of each set of equivalent atoms:
Zr1 0.000 0.000 0.000 [1 per cell]
Al1 0.000 0.500 0.500 [3 per cell]
Cu1 0.500 0.500 0.500 [1 per cell]

=====

(7)
Computed, not measured: Zr5AlCu2 after structural relaxation at the GGA-PBE level of DFT.

Calculated values
**Fermi-level density of states**: 16.8 states/eV/cell
**E above lowest polymorph**: 3.79 kcal/mol of atoms
**Total moment**: 0.00 μB per formula unit
**Calculated formation energy**: -43 meV/atom

a b c (Å): 3.203 6.908 14.634
angles (deg): 90.00 90.00 90.00
Space group Immm (No. 71)
One atom of each set of equivalent atoms:
Zr1 0.000 0.000 0.000 [2 per cell]
Zr2 0.000 0.231 0.367 [8 per cell]
Al1 0.000 0.500 0.000 [2 per cell]
Cu1 0.000 0.000 0.214 [4 per cell]

=====

(8)
Computed, not measured: Zr6AlCu5 after structural relaxation at the GGA-PBE level of DFT.

Calculated values
**Fermi-level density of states**: 30.8 states/eV/cell
**Total moment**: 0.00 μB per formula unit
**Calculated formation energy**: -155 meV/atom

a b c (Å): 4.653 6.598 13.984
angles (deg): 90.00 90.00 90.00
Space group Immm (No. 71)
One atom of each set of equivalent atoms:
Zr1 0.000 0.243 0.000 [4 per cell]
Zr2 0.000 0.253 0.330 [8 per cell]
Al1 0.000 0.000 0.500 [2 per cell]
Cu1 0.000 0.000 0.165 [4 per cell]
Cu2 0.000 0.500 0.159 [4 per cell]
Cu3 0.000 0.500 0.500 [2 per cell]

=====

(9)
Computed, not measured: Zr2AlCu after structural relaxation at the GGA-PBE level of DFT.

Calculated values
**Fermi-level density of states**: 11.2 states/eV/cell
**Total moment**: 0.00 μB per formula unit
**Calculated formation energy**: -153 meV/atom

a b c (Å): 3.043 11.082 8.927
angles (deg): 90.00 90.00 90.00
Space group Cmcm (No. 63)
One atom of each set of equivalent atoms:
Zr1 0.000 0.134 0.060 [8 per cell]
Al1 0.000 0.208 0.750 [4 per cell]
Cu1 0.000 0.470 0.250 [4 per cell]

=====

(10)
Computed, not measured: Zr2AlCu after structural relaxation at the GGA-PBE level of DFT.

Calculated values
**Fermi-level density of states**: 6.8 states/eV/cell
**Total moment**: 0.00 μB per formula unit
**Calculated formation energy**: -183 meV/atom

a b c (Å): 4.031 4.031 9.129
angles (deg): 90.00 90.00 90.00
Space group I-4m2 (No. 119)
One atom of each set of equivalent atoms:
Zr1 0.000 0.000 0.000 [2 per cell]
Zr2 0.000 0.500 0.250 [2 per cell]
Al1 0.000 0.500 0.750 [2 per cell]
Cu1 0.000 0.000 0.500 [2 per cell]

=====

(11)
Computed, not measured: Zr2Al3Cu3 after structural relaxation at the GGA-PBE level of DFT.

Calculated values
**Fermi-level density of states**: 10.7 states/eV/cell
**E above lowest polymorph**: 0.00 kcal/mol of atoms
**Total moment**: 0.00 μB per formula unit
**Calculated formation energy**: -296 meV/atom

a b c (Å): 5.413 7.078 7.541
angles (deg): 74.73 69.50 77.90
Space group P-1 (No. 2)
One atom of each set of equivalent atoms:
Zr1 0.109 0.194 0.476 [2 per cell]
Zr2 0.305 0.807 0.803 [2 per cell]
Al1 0.215 0.394 0.055 [2 per cell]
Al2 0.251 0.491 0.640 [2 per cell]
Al3 0.262 0.990 0.146 [2 per cell]
Cu1 0.091 0.189 0.862 [2 per cell]
Cu2 0.317 0.583 0.251 [2 per cell]
Cu3 0.449 0.824 0.408 [2 per cell]

=====

(12)
Computed, not measured: Zr2AlCu after structural relaxation at the GGA-PBE level of DFT.

Calculated values
**Fermi-level density of states**: 2.6 states/eV/cell
**Total moment**: 0.00 μB per formula unit
**Calculated formation energy**: -90 meV/atom

a b c (Å): 3.139 3.895 6.168
angles (deg): 90.00 90.00 90.00
Space group Pmm2 (No. 25)
One atom of each set of equivalent atoms:
Zr1 0.000 0.000 0.000 [1 per cell]
Zr2 0.500 0.500 0.283 [1 per cell]
Al1 0.000 0.000 0.530 [1 per cell]
Cu1 0.500 0.500 0.752 [1 per cell]

=====

(13)
Computed, not measured: Zr3AlCu2 after structural relaxation at the GGA-PBE level of DFT.

Calculated values
**Fermi-level density of states**: 8.9 states/eV/cell
**E above lowest polymorph**: 3.78 kcal/mol of atoms
**Total moment**: 0.00 μB per formula unit
**Calculated formation energy**: -73 meV/atom

a b c (Å): 6.2077 6.2077 6.6801
angles (deg): 90.00 90.00 120.00
Space group P-3m1 (No. 164)
One atom of each set of equivalent atoms:
Zr1 0.1716 0.3431 0.1756 [6 per cell]
Al1 0.3333 0.6667 0.7977 [2 per cell]
Cu1 0.0000 0.0000 0.5000 [1 per cell]
Cu2 0.0000 0.5000 0.5000 [3 per cell]

=====

(14)
Computed, not measured: ZrAl6Cu after structural relaxation at the GGA-PBE level of DFT.

Calculated values
**Fermi-level density of states**: 5.1 states/eV/cell
**E above lowest polymorph**: 2.07 kcal/mol of atoms
**Total moment**: 0.00 μB per formula unit
**Calculated formation energy**: -81 meV/atom

a b c (Å): 3.944 3.944 9.080
angles (deg): 90.00 90.00 90.00
Space group P4/mmm (No. 123)
One atom of each set of equivalent atoms:
Zr1 0.000 0.000 0.000 [1 per cell]
Al1 0.000 0.500 0.329 [4 per cell]
Al2 0.500 0.500 0.135 [2 per cell]
Cu1 0.000 0.000 0.500 [1 per cell]

=====

(15)
Computed, not measured: Zr2Al3Cu after structural relaxation at the GGA-PBE level of DFT.

Calculated values
**Fermi-level density of states**: 3.6 states/eV/cell
**Total moment**: 0.00 μB per formula unit
**Calculated formation energy**: -460 meV/atom

a b c (Å): 8.7270 8.7270 3.2104
angles (deg): 90.00 90.00 120.00
Space group P6/mmm (No. 191)
One atom of each set of equivalent atoms:
Zr1 0.0000 0.0000 0.0000 [1 per cell]
Zr2 0.0000 0.5000 0.0000 [3 per cell]
Al1 0.1714 0.3428 0.5000 [6 per cell]
Cu1 0.3333 0.6667 0.5000 [2 per cell]

=====

(16)
Computed, not measured: ZrAl3Cu3 after structural relaxation at the GGA-PBE level of DFT.

Calculated values
**Fermi-level density of states**: 4.7 states/eV/cell
**E above lowest polymorph**: 3.05 kcal/mol of atoms
**Total moment**: 0.00 μB per formula unit
**Calculated formation energy**: -150 meV/atom

a b c (Å): 7.756 4.203 7.756
angles (deg): 90.00 119.89 90.00
Space group P2_1/m (No. 11)
One atom of each set of equivalent atoms:
Zr1 0.167 0.250 0.333 [2 per cell]
Al1 0.237 0.250 0.758 [2 per cell]
Al2 0.258 0.750 0.022 [2 per cell]
Al3 0.478 0.750 0.737 [2 per cell]
Cu1 0.032 0.250 0.922 [2 per cell]
Cu2 0.110 0.750 0.532 [2 per cell]
Cu3 0.422 0.750 0.389 [2 per cell]

=====

(17)
Computed, not measured: ZrAl2Cu4 after structural relaxation at the GGA-PBE level of DFT.

Calculated values
**Fermi-level density of states**: 4.1 states/eV/cell
**E above lowest polymorph**: 5.62 kcal/mol of atoms
**Total moment**: 0.00 μB per formula unit
**Calculated formation energy**: -24 meV/atom

a b c (Å): 4.0360 4.0360 8.0439
angles (deg): 90.00 90.00 120.00
Space group P3m1 (No. 156)
One atom of each set of equivalent atoms:
Zr1 0.0000 0.0000 0.0000 [1 per cell]
Al1 0.3333 0.6667 0.7423 [1 per cell]
Al2 0.6667 0.3333 0.4964 [1 per cell]
Cu1 0.0000 0.0000 0.3371 [1 per cell]
Cu2 0.0000 0.0000 0.6405 [1 per cell]
Cu3 0.6667 0.3333 0.1849 [1 per cell]
Cu4 0.6667 0.3333 0.8256 [1 per cell]

=====

(18)
Computed, not measured: Zr6AlCu after structural relaxation at the GGA-PBE level of DFT.

Calculated values
**Fermi-level density of states**: 9.3 states/eV/cell
**E above lowest polymorph**: 12.01 kcal/mol of atoms
**Total moment**: 0.00 μB per formula unit
**Calculated formation energy**: 406 meV/atom

a b c (Å): 4.175 4.175 10.594
angles (deg): 90.00 90.00 90.00
Space group P4/mmm (No. 123)
One atom of each set of equivalent atoms:
Zr1 0.000 0.000 0.118 [2 per cell]
Zr2 0.000 0.500 0.335 [4 per cell]
Al1 0.500 0.500 0.000 [1 per cell]
Cu1 0.500 0.500 0.500 [1 per cell]

=====

(19)
Computed, not measured: Zr2AlCu after structural relaxation at the GGA-PBE level of DFT.

Calculated values
**Fermi-level density of states**: 35.2 states/eV/cell
**Total moment**: 0.00 μB per formula unit
**Calculated formation energy**: 429 meV/atom

a b c (Å): 5.5502 5.5502 28.5865
angles (deg): 90.00 90.00 120.00
Space group R-3m (No. 166, hexagonal axes)
One atom of each set of equivalent atoms:
Zr1 0.0015 0.5008 0.4122 [18 per cell]
Al1 0.0000 0.0000 0.0000 [3 per cell]
Al2 0.0000 0.0000 0.1665 [6 per cell]
Cu1 0.0000 0.0000 0.3619 [6 per cell]
Cu2 0.0000 0.0001 0.5000 [3 per cell]

=====

(20)
Computed, not measured: Zr6AlCu after structural relaxation at the GGA-PBE level of DFT.

Calculated values
**Fermi-level density of states**: 12.5 states/eV/cell
**E above lowest polymorph**: 15.39 kcal/mol of atoms
**Total moment**: 0.00 μB per formula unit
**Calculated formation energy**: 553 meV/atom

a b c (Å): 4.146 4.146 11.010
angles (deg): 90.00 90.00 90.00
Space group P4/mmm (No. 123)
One atom of each set of equivalent atoms:
Zr1 0.000 0.000 0.116 [2 per cell]
Zr2 0.000 0.500 0.325 [4 per cell]
Al1 0.500 0.500 0.500 [1 per cell]
Cu1 0.500 0.500 0.000 [1 per cell]

=====

(21)
Computed, not measured: ZrAl5Cu2 after structural relaxation at the GGA-PBE level of DFT.

Calculated values
**Fermi-level density of states**: 5.9 states/eV/cell
**Total moment**: 0.00 μB per formula unit
**Calculated formation energy**: -182 meV/atom

a b c (Å): 5.697 10.344 4.448
angles (deg): 90.00 90.00 90.00
Space group Pbam (No. 55)
One atom of each set of equivalent atoms:
Zr1 0.000 0.000 0.000 [2 per cell]
Al1 0.000 0.500 0.000 [2 per cell]
Al2 0.223 0.263 0.000 [4 per cell]
Al3 0.244 0.127 0.500 [4 per cell]
Cu1 0.243 0.383 0.500 [4 per cell]

=====

(22)
Computed, not measured: Zr3Al2Cu after structural relaxation at the GGA-PBE level of DFT.

Calculated values
**Fermi-level density of states**: 13.9 states/eV/cell
**E above lowest polymorph**: 4.79 kcal/mol of atoms
**Total moment**: 0.00 μB per formula unit
**Calculated formation energy**: -89 meV/atom

a b c (Å): 6.0860 6.0860 7.2413
angles (deg): 90.00 90.00 120.00
Space group P-3m1 (No. 164)
One atom of each set of equivalent atoms:
Zr1 0.1695 0.3390 0.1710 [6 per cell]
Al1 0.0000 0.0000 0.5000 [1 per cell]
Al2 0.0000 0.5000 0.5000 [3 per cell]
Cu1 0.3333 0.6667 0.8326 [2 per cell]

=====

(23)
Computed, not measured: Zr2AlCu after structural relaxation at the GGA-PBE level of DFT.

Calculated values
**Fermi-level density of states**: 6.0 states/eV/cell
**Total moment**: 0.00 μB per formula unit
**Calculated formation energy**: 2 meV/atom

a b c (Å): 5.547 4.540 6.155
angles (deg): 90.00 90.00 90.00
Space group Pmma (No. 51)
One atom of each set of equivalent atoms:
Zr1 0.000 0.000 0.000 [2 per cell]
Zr2 0.250 0.000 0.471 [2 per cell]
Al1 0.250 0.500 0.767 [2 per cell]
Cu1 0.250 0.500 0.193 [2 per cell]